Dy2ZnHg | PBE-GGA | relaxed

Geometry as POSCAR:
```
Dy2ZnHg
1.0
-1.809 -1.653 2.654
-0.962 -2.624 -2.289
6.098 -3.797 1.790
Dy Zn Hg
2 1 1
Direct
0.000 0.000 0.233 Dy
0.000 0.000 0.767 Dy
0.500 0.500 0.000 Zn
0.500 0.500 0.500 Hg
```

Results
Its magnetization is 0.0 Bohr magnetons per cell. Its relative energy among the computed polymorphs is 0 meV per atom. Its symmetry is No. 123. As for the total energy: -3.109 eV/atom. The value obtained for the formation energy is -1.66 eV/f.u.

Dy6ZnHg5 | PBE-GGA | relaxed

Geometry as POSCAR:
```
Dy6ZnHg5
1.0
-3.313 -3.984 -0.629
2.039 -0.575 -7.096
4.019 -7.034 1.725
Hg Dy Zn
5 6 1
Direct
0.000 0.500 0.000 Hg
0.336 0.000 0.327 Hg
0.666 0.500 0.667 Hg
0.664 0.000 0.673 Hg
0.334 0.500 0.333 Hg
0.164 0.246 0.671 Dy
0.836 0.246 0.329 Dy
0.836 0.754 0.329 Dy
0.164 0.754 0.671 Dy
0.500 0.244 0.000 Dy
0.500 0.756 0.000 Dy
0.000 0.000 0.000 Zn
```

Results
Its magnetization is 0.0 Bohr magnetons per cell. Its symmetry is No. 65. As for the total energy: -2.986 eV/atom. The value obtained for the formation energy is -5.44 eV/f.u.

What did the second record say?
Dy6ZnHg5 | PBE-GGA | relaxed

Geometry as POSCAR:
```
Dy6ZnHg5
1.0
-3.313 -3.984 -0.629
2.039 -0.575 -7.096
4.019 -7.034 1.725
Hg Dy Zn
5 6 1
Direct
0.000 0.500 0.000 Hg
0.336 0.000 0.327 Hg
0.666 0.500 0.667 Hg
0.664 0.000 0.673 Hg
0.334 0.500 0.333 Hg
0.164 0.246 0.671 Dy
0.836 0.246 0.329 Dy
0.836 0.754 0.329 Dy
0.164 0.754 0.671 Dy
0.500 0.244 0.000 Dy
0.500 0.756 0.000 Dy
0.000 0.000 0.000 Zn
```

Results
Its magnetization is 0.0 Bohr magnetons per cell. Its symmetry is No. 65. As for the total energy: -2.986 eV/atom. The value obtained for the formation energy is -5.44 eV/f.u.